Below is CdSn2Pb after structural relaxation, with properties calculated at the PBE level. Values from VASP.

Structure (Quantum ESPRESSO input):
```
&SYSTEM
  ibrav = 0, nat = 4, ntyp = 3
/
ATOMIC_SPECIES
Cd 112.41 Cd.upf
Sn 118.71 Sn.upf
Pb 207.20 Pb.upf
ATOMIC_POSITIONS crystal
Cd 0.0000 0.0000 0.0000
Sn 0.2500 0.2500 0.2500
Sn 0.5000 0.5000 0.5000
Pb 0.7500 0.7500 0.7500
CELL_PARAMETERS angstrom
0.0000 3.8195 3.8195
3.8195 0.0000 3.8195
3.8195 3.8195 0.0000
```

Symmetry: F-43m (216)
Raw total energy in eV per atom: -3.077